Record 1
First-principles (PBEsol) data for a relaxed structure of Cs3KP, as listed in Alexandria.

Properties
The density of states at the Fermi level is 6.139 states/eV/cell. Its symmetry is No. 221. The value obtained for the formation energy is 21 meV per atom. As for the magnetic moment: 1.00 μB/f.u.

```
data_Cs3KP
_space_group_name_H-M_alt 'P 1'
_space_group_IT_number 1
_cell_length_a 6.9757
_cell_length_b 6.9757
_cell_length_c 6.9757
_cell_angle_alpha 90.00
_cell_angle_beta 90.00
_cell_angle_gamma 90.00
loop_
_space_group_symop_operation_xyz
'x,y,z'
loop_
_atom_site_label
_atom_site_fract_x
_atom_site_fract_y
_atom_site_fract_z
Cs1 0.0000 0.5000 0.0000
Cs2 0.0000 0.0000 0.5000
Cs3 0.5000 0.0000 0.0000
P1 0.0000 0.0000 0.0000
K1 0.5000 0.5000 0.5000
```


Record 2
First-principles (PBEsol) data for a relaxed structure of FeWAu2, as listed in Alexandria.

Properties
The density of states at the Fermi level is 4.033 states/eV/cell. Its symmetry is No. 47. The value obtained for the formation energy is 377 meV per atom. As for the magnetic moment: 2.52 μB/f.u.

```
data_FeWAu2
_space_group_name_H-M_alt 'P 1'
_space_group_IT_number 1
_cell_length_a 2.7068
_cell_length_b 4.0915
_cell_length_c 5.4972
_cell_angle_alpha 90.00
_cell_angle_beta 90.01
_cell_angle_gamma 90.00
loop_
_space_group_symop_operation_xyz
'x,y,z'
loop_
_atom_site_label
_atom_site_fract_x
_atom_site_fract_y
_atom_site_fract_z
Au1 0.9998 0.0000 0.7522
Au2 0.0002 0.0000 0.2478
Fe1 0.5000 0.5000 0.0000
W1 0.5000 0.5000 0.5000
```


Record 3
First-principles (PBEsol) data for a relaxed structure of CaNbCl2, as listed in Alexandria.

Properties
The density of states at the Fermi level is 7.794 states/eV/cell. Its symmetry is No. 122. The calculation puts the formation energy from raw total energies at -0.46 eV per atom. As for the magnetic moment: 2.50 μB/f.u.

```
data_CaNbCl2
_space_group_name_H-M_alt 'P 1'
_space_group_IT_number 1
_cell_length_a 4.8215
_cell_length_b 4.8215
_cell_length_c 8.6820
_cell_angle_alpha 106.12
_cell_angle_beta 106.12
_cell_angle_gamma 90.00
loop_
_space_group_symop_operation_xyz
'x,y,z'
loop_
_atom_site_label
_atom_site_fract_x
_atom_site_fract_y
_atom_site_fract_z
Nb1 0.2500 0.7500 0.5000
Nb2 0.0000 0.0000 0.0000
Ca1 0.7500 0.2500 0.5000
Ca2 0.5000 0.5000 0.0000
Cl1 0.9191 0.3750 0.2500
Cl2 0.3309 0.8750 0.2500
Cl3 0.6250 0.6691 0.7500
Cl4 0.1250 0.0809 0.7500
```


Record 4
First-principles (PBEsol) data for a relaxed structure of HfRe2Tc2, as listed in Alexandria.

Properties
The density of states at the Fermi level is 3.794 states/eV/cell. Its symmetry is No. 123. The value obtained for the formation energy is 1454 meV per atom. As for the magnetic moment: 0.00 μB/f.u.

```
data_HfRe2Tc2
_space_group_name_H-M_alt 'P 1'
_space_group_IT_number 1
_cell_length_a 4.5763
_cell_length_b 4.5763
_cell_length_c 4.6694
_cell_angle_alpha 90.00
_cell_angle_beta 90.00
_cell_angle_gamma 90.00
loop_
_space_group_symop_operation_xyz
'x,y,z'
loop_
_atom_site_label
_atom_site_fract_x
_atom_site_fract_y
_atom_site_fract_z
Re1 0.0000 0.0000 0.0000
Re2 0.0000 0.0000 0.5000
Hf1 0.5000 0.5000 0.5000
Tc1 0.0000 0.5000 0.0000
Tc2 0.5000 0.0000 0.0000
```


Record 5
First-principles (PBEsol) data for a relaxed structure of Mg3Hg, as listed in Alexandria.

Properties
The density of states at the Fermi level is 1.367 states/eV/cell. Its symmetry is No. 12. The value obtained for the formation energy is -158 meV per atom. As for the magnetic moment: 0.00 μB/f.u.

```
data_Mg3Hg
_space_group_name_H-M_alt 'P 1'
_space_group_IT_number 1
_cell_length_a 3.8526
_cell_length_b 4.6717
_cell_length_c 5.5705
_cell_angle_alpha 114.48
_cell_angle_beta 110.23
_cell_angle_gamma 90.00
loop_
_space_group_symop_operation_xyz
'x,y,z'
loop_
_atom_site_label
_atom_site_fract_x
_atom_site_fract_y
_atom_site_fract_z
Mg1 0.2626 0.7627 0.5253
Mg2 0.5000 0.5000 0.0000
Mg3 0.7374 0.2373 0.4747
Hg1 0.0000 0.0000 0.0000
```


Record 6
First-principles (PBEsol) data for a relaxed structure of VSbRh, as listed in Alexandria.

Properties
The density of states at the Fermi level is 2.197 states/eV/cell. Its symmetry is No. 216. The calculation puts the formation energy from raw total energies at -0.30 eV per atom. As for the magnetic moment: 1.00 μB/f.u.

```
data_VSbRh
_space_group_name_H-M_alt 'P 1'
_space_group_IT_number 1
_cell_length_a 4.2388
_cell_length_b 4.2388
_cell_length_c 4.2388
_cell_angle_alpha 60.00
_cell_angle_beta 60.00
_cell_angle_gamma 60.00
loop_
_space_group_symop_operation_xyz
'x,y,z'
loop_
_atom_site_label
_atom_site_fract_x
_atom_site_fract_y
_atom_site_fract_z
Sb1 0.0000 0.0000 0.0000
Rh1 0.2500 0.2500 0.2500
V1 0.5000 0.5000 0.5000
```


Record 7
First-principles (PBEsol) data for a relaxed structure of CoTcIr2, as listed in Alexandria.

Properties
The density of states at the Fermi level is 5.236 states/eV/cell. Its symmetry is No. 119. The value obtained for the formation energy is -54 meV per atom. As for the magnetic moment: 0.00 μB/f.u.

```
data_CoTcIr2
_space_group_name_H-M_alt 'P 1'
_space_group_IT_number 1
_cell_length_a 3.7169
_cell_length_b 3.7169
_cell_length_c 4.6033
_cell_angle_alpha 113.81
_cell_angle_beta 113.81
_cell_angle_gamma 90.00
loop_
_space_group_symop_operation_xyz
'x,y,z'
loop_
_atom_site_label
_atom_site_fract_x
_atom_site_fract_y
_atom_site_fract_z
Co1 0.2500 0.7500 0.5000
Ir1 0.0000 0.0000 0.0000
Ir2 0.7500 0.2500 0.5000
Tc1 0.5000 0.5000 0.0000
```


Record 8
First-principles (PBEsol) data for a relaxed structure of SeSI2O, as listed in Alexandria.

Properties
The density of states at the Fermi level is 4.413 states/eV/cell. Its symmetry is No. 123. The calculation puts the formation energy from raw total energies at 0.42 eV per atom. As for the magnetic moment: 0.02 μB/f.u.

```
data_SeSI2O
_space_group_name_H-M_alt 'P 1'
_space_group_IT_number 1
_cell_length_a 3.7277
_cell_length_b 5.6432
_cell_length_c 5.6432
_cell_angle_alpha 90.00
_cell_angle_beta 90.00
_cell_angle_gamma 90.00
loop_
_space_group_symop_operation_xyz
'x,y,z'
loop_
_atom_site_label
_atom_site_fract_x
_atom_site_fract_y
_atom_site_fract_z
I1 0.0000 0.0000 0.5000
I2 0.0000 0.5000 0.0000
S1 0.5000 0.5000 0.5000
O1 0.5000 0.0000 0.0000
Se1 0.0000 0.0000 0.0000
```